# 1
Tb2LuIn3CuNi2, optimized geometry, DFT GGA-PBE; symmetry = Amm2; electronic total energy = -4.570 eV per atom
1.0
3.825 0.000 0.000
0.000 6.437 3.719
0.000 -6.437 3.719
Tb Lu In Cu Ni
2 1 3 1 2
Direct
0.000 0.206 0.794 Tb
0.000 0.794 0.206 Tb
0.000 0.381 0.381 Lu
0.500 0.053 0.053 In
0.500 0.535 0.791 In
0.500 0.791 0.535 In
0.000 0.791 0.791 Cu
0.500 0.129 0.458 Ni
0.500 0.458 0.129 Ni

# 2
ReI, optimized geometry, DFT GGA-PBE; symmetry = P6_3/mmc; distance to the lowest polymorph of the same formula = 0 meV/atom
1.0
4.544 0.000 0.000
-2.272 3.935 0.000
0.000 0.000 5.061
Re I
2 2
Direct
0.000 0.000 0.000 Re
0.000 0.000 0.500 Re
0.333 0.667 0.250 I
0.667 0.333 0.750 I

# 3
Na3LiZnSeO6, optimized geometry, DFT GGA-PBE; symmetry = C2; electronic total energy = -4.734 eV per atom
1.0
2.626 -4.526 0.000
2.626 4.526 0.000
-1.783 0.000 5.235
Na Li Zn Se O
3 1 1 1 6
Direct
0.000 0.000 0.000 Na
0.329 0.671 0.000 Na
0.680 0.320 0.000 Na
0.837 0.163 0.500 Li
0.168 0.832 0.500 Zn
0.503 0.497 0.500 Se
0.144 0.434 0.299 O
0.282 0.273 0.698 O
0.433 0.136 0.298 O
0.566 0.856 0.701 O
0.727 0.718 0.302 O
0.864 0.567 0.702 O

# 4
LiYTaCo, optimized geometry, DFT GGA-PBE; symmetry = F-43m; distance to the lowest polymorph of the same formula = 172 meV/atom
1.0
0.000 3.204 3.204
3.204 0.000 3.204
3.204 3.204 0.000
Li Y Ta Co
1 1 1 1
Direct
0.000 0.000 0.000 Li
0.750 0.750 0.750 Y
0.500 0.500 0.500 Ta
0.250 0.250 0.250 Co

# 5
NaTaOsPb, optimized geometry, DFT GGA-PBE; symmetry = F-43m; distance to the lowest polymorph of the same formula = 0 meV/atom
1.0
0.000 3.298 3.298
3.298 0.000 3.298
3.298 3.298 0.000
Na Ta Os Pb
1 1 1 1
Direct
0.000 0.000 0.000 Na
0.750 0.750 0.750 Ta
0.500 0.500 0.500 Os
0.250 0.250 0.250 Pb

# 6
NaPrBeS3, optimized geometry, DFT GGA-PBE; symmetry = Cmcm; electronic total energy = -5.132 eV per atom
1.0
1.964 -6.363 0.000
1.964 6.363 0.000
0.000 0.000 11.006
Na Pr Be S
2 2 2 6
Direct
0.248 0.752 0.750 Na
0.752 0.248 0.250 Na
0.000 0.000 0.000 Pr
0.000 0.000 0.500 Pr
0.461 0.539 0.250 Be
0.539 0.461 0.750 Be
0.065 0.935 0.250 S
0.366 0.634 0.097 S
0.366 0.634 0.403 S
0.634 0.366 0.597 S
0.634 0.366 0.903 S
0.935 0.065 0.750 S

# 7
Gd2ZnSb2, optimized geometry, DFT GGA-PBE; symmetry = Cmc2_1; electronic total energy = -4.501 eV per atom
1.0
2.192 -9.232 0.000
2.192 9.232 0.000
0.000 0.000 6.530
Gd Zn Sb
4 2 4
Direct
0.007 0.993 0.500 Gd
0.204 0.796 0.208 Gd
0.796 0.204 0.708 Gd
0.993 0.007 0.000 Gd
0.408 0.592 0.306 Zn
0.592 0.408 0.806 Zn
0.172 0.828 0.708 Sb
0.411 0.589 0.737 Sb
0.589 0.411 0.237 Sb
0.828 0.172 0.208 Sb

# 8
HoScPt, optimized geometry, DFT GGA-PBE; symmetry = Pnma; E_form = -1.004 eV per atom; distance to the lowest polymorph of the same formula = 0 meV/atom
1.0
6.877 0.000 0.000
0.000 4.583 0.000
0.000 0.000 8.400
Ho Sc Pt
4 4 4
Direct
0.017 0.250 0.177 Ho
0.483 0.750 0.677 Ho
0.517 0.250 0.323 Ho
0.983 0.750 0.823 Ho
0.142 0.250 0.573 Sc
0.358 0.750 0.073 Sc
0.642 0.250 0.927 Sc
0.858 0.750 0.427 Sc
0.247 0.750 0.401 Pt
0.253 0.250 0.901 Pt
0.747 0.750 0.099 Pt
0.753 0.250 0.599 Pt

| no. | calculated volume (Å³/cell) |
| --- | --- |
| 1 | 183.08 |
| 2 | 90.48 |
| 3 | 124.41 |
| 4 | 65.80 |
| 5 | 71.77 |
| 6 | 275.02 |
| 7 | 264.27 |
| 8 | 264.75 |